Density functional theory data (PBE) for a relaxed Tm2Zr crystal.

**Symmetry**: I4/mmm, No. 139
**Energy of formation from the pure elements**: 0.060 eV/atom
**Distance to the lowest polymorph of the same formula**: 9 meV/atom

abc: 3.376 3.376 14.461
angles: 90.00 90.00 90.00
Atoms (fractional coordinates):
Tm (0.000, 0.000, 0.157)
Tm (0.000, 0.000, 0.843)
Tm (0.500, 0.500, 0.343)
Tm (0.500, 0.500, 0.657)
Zr (0.000, 0.000, 0.500)
Zr (0.500, 0.500, 0.000)


Density functional theory data (PBE) for a relaxed Ta4Mo2W5 crystal.

**Symmetry**: P2/m, No. 10
**Energy of formation from the pure elements**: 0.313 eV/atom

abc: 7.299 2.654 9.798
angles: 90.00 93.40 90.00
Atoms (fractional coordinates):
Ta (0.146, 0.000, 0.403)
Ta (0.308, 0.000, 0.950)
Ta (0.692, 0.000, 0.050)
Ta (0.854, 0.000, 0.597)
Mo (0.049, 0.500, 0.138)
Mo (0.951, 0.500, 0.862)
W (0.222, 0.500, 0.677)
W (0.416, 0.500, 0.223)
W (0.500, 0.500, 0.500)
W (0.584, 0.500, 0.777)
W (0.778, 0.500, 0.323)


Density functional theory data (PBE) for a relaxed Ba3Sr2Pb4 crystal.

**Symmetry**: C2/m, No. 12
**Energy of formation from the pure elements**: -0.455 eV/atom

abc: 10.684 10.684 7.350
angles: 106.46 106.46 28.63
Atoms (fractional coordinates):
Ba (0.000, 0.000, 0.000)
Ba (0.113, 0.113, 0.577)
Ba (0.887, 0.887, 0.423)
Sr (0.341, 0.341, 0.892)
Sr (0.659, 0.659, 0.108)
Pb (0.250, 0.250, 0.350)
Pb (0.497, 0.497, 0.290)
Pb (0.503, 0.503, 0.710)
Pb (0.750, 0.750, 0.650)


Density functional theory data (PBE) for a relaxed Sr4InOs crystal.

**Symmetry**: F-43m, No. 216
**Energy of formation from the pure elements**: 1.075 eV/atom

abc: 6.493 6.493 6.493
angles: 60.00 60.00 60.00
Atoms (fractional coordinates):
Sr (0.376, 0.376, 0.376)
Sr (0.376, 0.376, 0.872)
Sr (0.376, 0.872, 0.376)
Sr (0.872, 0.376, 0.376)
In (0.000, 0.000, 0.000)
Os (0.750, 0.750, 0.750)


Density functional theory data (PBE) for a relaxed BaSm5Te8 crystal.

**Symmetry**: F-43m, No. 216
**Energy**: -69.4 eV per cell

abc: 9.393 9.393 9.393
angles: 60.00 60.00 60.00
Atoms (fractional coordinates):
Ba (0.000, 0.000, 0.000)
Sm (0.374, 0.374, 0.374)
Sm (0.374, 0.374, 0.878)
Sm (0.374, 0.878, 0.374)
Sm (0.750, 0.750, 0.750)
Sm (0.878, 0.374, 0.374)
Te (0.141, 0.141, 0.141)
Te (0.141, 0.141, 0.577)
Te (0.141, 0.577, 0.141)
Te (0.147, 0.618, 0.618)
Te (0.577, 0.141, 0.141)
Te (0.618, 0.147, 0.618)
Te (0.618, 0.618, 0.147)
Te (0.618, 0.618, 0.618)


Density functional theory data (PBE) for a relaxed CsBaB2Pb crystal.

**Symmetry**: P4/mmm, No. 123
**Energy of formation from the pure elements**: 2.127 eV/atom

abc: 5.635 5.635 6.411
angles: 90.00 90.00 90.00
Atoms (fractional coordinates):
Cs (0.000, 0.000, 0.000)
Ba (0.000, 0.000, 0.500)
B (0.000, 0.500, 0.000)
B (0.500, 0.000, 0.000)
Pb (0.500, 0.500, 0.500)


Density functional theory data (PBE) for a relaxed Sc2BeSi2Ni5 crystal.

**Symmetry**: P4/mbm, No. 127
**Energy**: -121.7 eV per cell

abc: 9.543 9.543 2.821
angles: 90.00 90.00 90.00
Atoms (fractional coordinates):
Sc (0.173, 0.327, 0.000)
Sc (0.327, 0.827, 0.000)
Sc (0.673, 0.173, 0.000)
Sc (0.827, 0.673, 0.000)
Be (0.000, 0.000, 0.000)
Be (0.500, 0.500, 0.000)
Si (0.132, 0.632, 0.000)
Si (0.368, 0.132, 0.000)
Si (0.632, 0.868, 0.000)
Si (0.868, 0.368, 0.000)
Ni (0.000, 0.500, 0.500)
Ni (0.053, 0.811, 0.500)
Ni (0.189, 0.053, 0.500)
Ni (0.311, 0.553, 0.500)
Ni (0.447, 0.311, 0.500)
Ni (0.500, 0.000, 0.500)
Ni (0.553, 0.689, 0.500)
Ni (0.689, 0.447, 0.500)
Ni (0.811, 0.947, 0.500)
Ni (0.947, 0.189, 0.500)


Density functional theory data (PBE) for a relaxed SrGd2Rh crystal.

**Symmetry**: R-3m, No. 166
**Energy of formation from the pure elements**: -0.371 eV/atom
**Distance to the lowest polymorph of the same formula**: 0 meV/atom

abc: 4.081 4.081 29.378
angles: 90.00 90.00 120.00
Atoms (fractional coordinates):
Sr (0.000, 0.000, 0.000)
Sr (0.333, 0.667, 0.667)
Sr (0.667, 0.333, 0.333)
Gd (0.000, 0.000, 0.217)
Gd (0.000, 0.000, 0.783)
Gd (0.333, 0.667, 0.450)
Gd (0.333, 0.667, 0.883)
Gd (0.667, 0.333, 0.117)
Gd (0.667, 0.333, 0.550)
Rh (0.000, 0.000, 0.500)
Rh (0.333, 0.667, 0.167)
Rh (0.667, 0.333, 0.833)


Number 1: DOS at the Fermi energy 1.463 states/eV/atom, M_tot 0.0 μB per cell. Number 2: DOS at the Fermi energy 0.782 states/eV/atom, M_tot 0.0 μB per cell. Number 3: DOS at the Fermi energy 0.618 states/eV/atom, M_tot 0.0 μB per cell. Number 4: DOS at the Fermi energy 1.362 states/eV/atom, M_tot 0.0 μB per cell. Number 5: DOS at the Fermi energy 0.392 states/eV/atom, M_tot 0.0 μB per cell. Number 6: DOS at the Fermi energy 0.950 states/eV/atom, M_tot 0.0 μB per cell. Number 7: DOS at the Fermi energy 0.939 states/eV/atom, M_tot 0.0 μB per cell. Number 8: DOS at the Fermi energy 1.208 states/eV/atom, M_tot 43.5 μB per cell.